No. 1
# RbUF6, optimized geometry, DFT PBE-GGA
# Total energy   -6.414 eV per atom
# Crystal system   cubic
# SG   No. 225
data_RbUF6
_chemical_formula_sum 'Rb1 U1 F6'
_space_group_name_H-M_alt 'P 1'
_space_group_IT_number 1
_cell_length_a 6.943
_cell_length_b 6.943
_cell_length_c 6.943
_cell_angle_alpha 60.00
_cell_angle_beta 60.00
_cell_angle_gamma 60.00
loop_
_space_group_symop_operation_xyz
'x,y,z'
loop_
_atom_site_label
_atom_site_type_symbol
_atom_site_fract_x
_atom_site_fract_y
_atom_site_fract_z
F1 F 0.213 0.787 0.213
F2 F 0.787 0.213 0.787
F3 F 0.213 0.213 0.787
F4 F 0.787 0.787 0.213
F5 F 0.213 0.787 0.787
F6 F 0.787 0.213 0.213
Rb1 Rb 0.500 0.500 0.500
U1 U 0.000 0.000 0.000

---

No. 2
# Rb2UF8, optimized geometry, DFT PBE-GGA
# Total energy   -5.559 eV per atom
# Crystal system   monoclinic
# Density of states at the Fermi level   10.433 states/eV per cell
# SG   No. 12
data_Rb2UF8
_chemical_formula_sum 'Rb2 U1 F8'
_space_group_name_H-M_alt 'P 1'
_space_group_IT_number 1
_cell_length_a 4.129
_cell_length_b 5.858
_cell_length_c 8.422
_cell_angle_alpha 110.27
_cell_angle_beta 104.19
_cell_angle_gamma 90.00
loop_
_space_group_symop_operation_xyz
'x,y,z'
loop_
_atom_site_label
_atom_site_type_symbol
_atom_site_fract_x
_atom_site_fract_y
_atom_site_fract_z
Rb1 Rb 0.191 0.691 0.382
Rb2 Rb 0.809 0.309 0.618
F1 F 0.000 0.801 0.000
F2 F 0.402 0.668 0.805
F3 F 0.598 0.864 0.196
F4 F 0.000 0.199 0.000
F5 F 0.598 0.332 0.195
F6 F 0.193 0.194 0.387
F7 F 0.807 0.806 0.613
F8 F 0.402 0.136 0.804
U1 U 0.500 0.000 0.000

---

No. 3
# Rb6UF12, optimized geometry, DFT PBE-GGA
# Total energy   -4.959 eV per atom
# Crystal system   trigonal
# Density of states at the Fermi level   22.339 states/eV per cell
# SG   No. 148
data_Rb6UF12
_chemical_formula_sum 'Rb6 U1 F12'
_space_group_name_H-M_alt 'P 1'
_space_group_IT_number 1
_cell_length_a 8.060
_cell_length_b 8.060
_cell_length_c 8.060
_cell_angle_alpha 99.43
_cell_angle_beta 99.43
_cell_angle_gamma 99.43
loop_
_space_group_symop_operation_xyz
'x,y,z'
loop_
_atom_site_label
_atom_site_type_symbol
_atom_site_fract_x
_atom_site_fract_y
_atom_site_fract_z
Rb1 Rb 0.355 0.598 0.154
Rb2 Rb 0.846 0.645 0.402
Rb3 Rb 0.402 0.846 0.645
Rb4 Rb 0.645 0.402 0.846
Rb5 Rb 0.598 0.154 0.355
Rb6 Rb 0.154 0.355 0.598
F1 F 0.832 0.398 0.601
F2 F 0.398 0.601 0.832
F3 F 0.244 0.969 0.097
F4 F 0.601 0.832 0.398
F5 F 0.031 0.903 0.756
F6 F 0.602 0.399 0.168
F7 F 0.903 0.756 0.031
F8 F 0.097 0.244 0.969
F9 F 0.399 0.168 0.602
F10 F 0.168 0.602 0.399
F11 F 0.969 0.097 0.244
F12 F 0.756 0.031 0.903
U1 U 0.000 0.000 0.000

---

No. 4
# Rb2UZn3F12, optimized geometry, DFT PBE-GGA
# Total energy   -4.958 eV per atom
# Crystal system   trigonal
# Density of states at the Fermi level   6.877 states/eV per cell
# SG   No. 166
data_Rb2UZn3F12
_chemical_formula_sum 'Rb2 U1 Zn3 F12'
_space_group_name_H-M_alt 'P 1'
_space_group_IT_number 1
_cell_length_a 7.572
_cell_length_b 7.572
_cell_length_c 7.572
_cell_angle_alpha 60.13
_cell_angle_beta 60.13
_cell_angle_gamma 60.13
loop_
_space_group_symop_operation_xyz
'x,y,z'
loop_
_atom_site_label
_atom_site_type_symbol
_atom_site_fract_x
_atom_site_fract_y
_atom_site_fract_z
F1 F 0.098 0.705 0.705
F2 F 0.898 0.356 0.898
F3 F 0.356 0.898 0.898
F4 F 0.102 0.644 0.102
F5 F 0.644 0.102 0.102
F6 F 0.295 0.902 0.295
F7 F 0.902 0.295 0.295
F8 F 0.705 0.705 0.098
F9 F 0.898 0.898 0.356
F10 F 0.705 0.098 0.705
F11 F 0.102 0.102 0.644
F12 F 0.295 0.295 0.902
Zn1 Zn 0.500 0.000 0.000
Zn2 Zn 0.000 0.500 0.000
Zn3 Zn 0.000 0.000 0.500
Rb1 Rb 0.397 0.397 0.397
Rb2 Rb 0.603 0.603 0.603
U1 U 0.000 0.000 0.000

---

Question: Which formula does entry 1 have?
Answer: RbUF6